P.
A plane-wave DFT calculation with GGA-PBEsol was carried out for BeAu2 after structural relaxation.

Cell and atoms, written as POSCAR:
```
BeAu2
1.0
2.893 0.000 0.000
0.000 4.341 0.000
-1.446 0.000 6.802
Be Au
2 4
direct
0.070 0.750 0.139 Be
0.930 0.250 0.861 Be
0.711 0.750 0.421 Au
0.426 0.750 0.852 Au
0.289 0.250 0.579 Au
0.574 0.250 0.148 Au
```

Calculated values
For the total magnetization, the calculation gives 0.0000 μB/atom. The crystal system is orthorhombic. The space group is Cmcm, No. 63. Its density of states at the Fermi level is 0.253 states/eV per atom. The density comes out at 15.67 g/cm3.

***

Q.
A plane-wave DFT calculation with GGA-PBEsol was carried out for BeAu2 after structural relaxation.

Cell and atoms, written as POSCAR:
```
BeAu2
1.0
-0.635 -2.692 -0.885
1.878 -1.078 1.935
-4.251 1.630 2.856
Be Au
1 2
direct
0.500 0.500 0.000 Be
0.858 0.858 0.715 Au
0.142 0.142 0.285 Au
```

Calculated values
For the total magnetization, the calculation gives 0.0000 μB/atom. The crystal system is tetragonal. The space group is I4/mmm, No. 139. Its density of states at the Fermi level is 0.239 states/eV per atom. The density comes out at 15.98 g/cm3.

***

Verdict on stability: P comes out at the bottom.

***

P.
A plane-wave DFT calculation with GGA-PBEsol was carried out for BeAu2 after structural relaxation.

Cell and atoms, written as POSCAR:
```
BeAu2
1.0
-1.493 3.811 0.851
-1.873 -3.382 1.591
3.359 0.293 4.578
Be Au
2 4
direct
0.333 0.667 0.750 Be
0.667 0.333 0.250 Be
0.000 0.000 0.000 Au
0.000 0.000 0.500 Au
0.667 0.333 0.750 Au
0.333 0.667 0.250 Au
```

Calculated values
For the total magnetization, the calculation gives 0.0000 μB/atom. The crystal system is hexagonal. The space group is P6_3/mmc, No. 194. Its density of states at the Fermi level is 0.210 states/eV per atom. The density comes out at 15.55 g/cm3.

***

Q.
A plane-wave DFT calculation with GGA-PBEsol was carried out for BeAu2 after structural relaxation.

Cell and atoms, written as POSCAR:
```
BeAu2
1.0
4.000 0.000 0.000
2.000 3.464 0.000
2.000 1.155 3.266
Be Au
1 2
direct
0.000 0.000 0.000 Be
0.250 0.250 0.250 Au
0.750 0.750 0.750 Au
```

Calculated values
For the total magnetization, the calculation gives 0.0000 μB/atom. The crystal system is cubic. The space group is Fm-3m, No. 225. Its density of states at the Fermi level is 0.398 states/eV per atom. The density comes out at 14.78 g/cm3.

***

Verdict on stability: P comes out at the bottom.

***

P.
A plane-wave DFT calculation with GGA-PBEsol was carried out for BeAu4 after structural relaxation.

Cell and atoms, written as POSCAR:
```
BeAu4
1.0
2.823 0.000 0.000
1.411 5.200 0.000
1.411 0.000 5.200
Be Au
1 4
direct
0.000 0.000 0.000 Be
0.573 0.194 0.660 Au
0.767 0.660 0.806 Au
0.427 0.806 0.340 Au
0.233 0.340 0.194 Au
```

Calculated values
For the total magnetization, the calculation gives 0.0000 μB/atom. The crystal system is tetragonal. The space group is I4/m, No. 87. Its density of states at the Fermi level is 0.234 states/eV per atom. The density comes out at 17.34 g/cm3.

***

Q.
A plane-wave DFT calculation with GGA-PBEsol was carried out for BeAu4 after structural relaxation.

Cell and atoms, written as POSCAR:
```
BeAu4
1.0
4.778 0.000 0.000
-1.593 4.504 0.000
-1.593 -2.252 3.901
Be Au
1 4
direct
0.000 0.000 0.000 Be
0.000 0.000 0.500 Au
0.000 0.500 0.000 Au
0.500 0.000 0.000 Au
0.500 0.500 0.500 Au
```

Calculated values
For the total magnetization, the calculation gives 0.0000 μB/atom. The crystal system is cubic. The space group is Im-3m, No. 229. Its density of states at the Fermi level is 0.247 states/eV per atom. The density comes out at 15.76 g/cm3.

***

Verdict on stability: Q comes out at the bottom.

***

P.
A plane-wave DFT calculation with GGA-PBEsol was carried out for BeAu5 after structural relaxation.

Cell and atoms, written as POSCAR:
```
BeAu5
1.0
2.935 0.000 0.000
-1.467 4.942 -0.017
0.000 -2.663 6.473
Be Au
1 5
direct
0.695 0.389 0.890 Be
0.063 0.126 0.024 Au
0.695 0.389 0.389 Au
0.325 0.651 0.753 Au
0.373 0.745 0.193 Au
0.016 0.033 0.584 Au
```

Calculated values
For the total magnetization, the calculation gives 0.0000 μB/atom. The crystal system is monoclinic. The space group is Cm, No. 8. Its density of states at the Fermi level is 0.310 states/eV per atom. The density comes out at 17.60 g/cm3.

***

Q.
A plane-wave DFT calculation with GGA-PBEsol was carried out for BeAu5 after structural relaxation.

Cell and atoms, written as POSCAR:
```
BeAu5
1.0
2.865 0.000 0.000
0.000 2.865 0.000
0.000 0.000 11.309
Be Au
1 5
direct
0.500 0.500 0.000 Be
0.000 0.000 0.872 Au
0.000 0.000 0.128 Au
0.500 0.500 0.684 Au
0.500 0.500 0.316 Au
0.000 0.000 0.500 Au
```

Calculated values
For the total magnetization, the calculation gives 0.0000 μB/atom. The crystal system is tetragonal. The space group is P4/mmm, No. 123. Its density of states at the Fermi level is 0.196 states/eV per atom. The density comes out at 17.78 g/cm3.

***

Verdict on stability: P comes out at the bottom.

***

P.
A plane-wave DFT calculation with GGA-PBEsol was carried out for BeAuBr after structural relaxation.

Cell and atoms, written as POSCAR:
```
BeAuBr
1.0
3.295 0.000 0.000
-1.648 2.854 0.000
0.000 0.000 5.678
Be Au Br
1 1 1
direct
0.667 0.333 0.666 Be
0.000 0.000 0.919 Au
0.333 0.667 0.415 Br
```

Calculated values
For the total magnetization, the calculation gives 0.0000 μB/atom. The crystal system is trigonal. The space group is P3m1, No. 156. Its density of states at the Fermi level is 0.068 states/eV per atom. The density comes out at 8.89 g/cm3.

***

Q.
A plane-wave DFT calculation with GGA-PBEsol was carried out for BeAuBr after structural relaxation.

Cell and atoms, written as POSCAR:
```
BeAuBr
1.0
-0.144 1.493 -2.444
-2.704 -1.700 -0.878
-2.126 4.315 4.442
Be Au Br
1 1 1
direct
0.469 0.469 0.937 Be
0.891 0.891 0.782 Au
0.640 0.640 0.281 Br
```

Calculated values
For the total magnetization, the calculation gives 0.0000 μB/atom. The crystal system is orthorhombic. The space group is Imm2, No. 44. Its density of states at the Fermi level is 0.254 states/eV per atom. The density comes out at 8.10 g/cm3.

***

Verdict on stability: Q comes out at the bottom.

***

P.
A plane-wave DFT calculation with GGA-PBEsol was carried out for BeAu2Cl after structural relaxation.

Cell and atoms, written as POSCAR:
```
BeAu2Cl
1.0
2.939 0.000 0.000
0.000 2.939 0.000
0.000 0.000 7.182
Be Au Cl
1 2 1
direct
0.500 0.500 0.000 Be
0.000 0.000 0.798 Au
0.000 0.000 0.202 Au
0.500 0.500 0.500 Cl
```

Calculated values
For the total magnetization, the calculation gives 0.0000 μB/atom. The crystal system is tetragonal. The space group is P4/mmm, No. 123. Its density of states at the Fermi level is 0.472 states/eV per atom. The density comes out at 11.74 g/cm3.

***

Q.
A plane-wave DFT calculation with GGA-PBEsol was carried out for BeAu2Cl after structural relaxation.

Cell and atoms, written as POSCAR:
```
BeAu2Cl
1.0
3.244 -0.001 0.000
-0.045 4.271 0.000
-1.600 -2.135 4.895
Be Au Cl
1 2 1
direct
0.500 0.500 0.000 Be
0.000 0.000 0.500 Au
0.500 0.500 0.500 Au
0.000 0.000 0.000 Cl
```

Calculated values
For the total magnetization, the calculation gives 0.0000 μB/atom. The crystal system is monoclinic. The space group is C2/m, No. 12. Its density of states at the Fermi level is 0.481 states/eV per atom. The density comes out at 10.74 g/cm3.

***

R.
A plane-wave DFT calculation with GGA-PBEsol was carried out for BeAu2Cl after structural relaxation.

Cell and atoms, written as POSCAR:
```
BeAu2Cl
1.0
-1.214 -2.411 1.331
4.151 -1.531 1.011
-0.639 3.297 5.390
Be Au Cl
1 2 1
direct
0.000 0.438 0.456 Be
0.000 0.048 0.194 Au
0.500 0.551 0.179 Au
0.500 0.463 0.670 Cl
```

Calculated values
For the total magnetization, the calculation gives 0.0000 μB/atom. The crystal system is monoclinic. The space group is Pm, No. 6. Its density of states at the Fermi level is 0.182 states/eV per atom. The density comes out at 8.42 g/cm3.

***

Verdict on stability: Q comes out at the bottom.